# 1
Entry from Alexandria via LeMat-Bulk: a relaxed AcTmSc crystal (PBE-GGA).

a = 4.0069 Å, b = 4.0069 Å, c = 12.2571 Å
α = 90.00°, β = 90.00°, γ = 90.00°
Last column: nearest neighbours and their distance in Å.
Space group I4mm (No. 107)
Symmetry-distinct sites (fractional):
Ac 0.0000 0.0000 0.0000 [2 per cell]  4 Sc 3.54, 5 Tm 3.68-3.78
Tm 0.0000 0.0000 0.3084 [2 per cell]  4 Sc 3.28
Sc 0.0000 0.0000 0.6737 [2 per cell]  4 Tm 3.28, 4 Ac 3.54

magnetic moment = 0.000 μB per cell
energy relative to the elements = 103.5 meV/atom
density = 7.44 g/cm³
DFT total energy = -29.20 eV for the cell shown

---

# 2
Entry from Alexandria via LeMat-Bulk: a relaxed AcTmSc2 crystal (PBE-GGA).

a = 7.8566 Å, b = 7.8566 Å, c = 7.8566 Å
α = 90.00°, β = 90.00°, γ = 90.00°
Last column: nearest neighbours and their distance in Å.
Space group Fm-3m (No. 225)
Symmetry-distinct sites (fractional):
Ac 0.0000 0.0000 0.0000 [4 per cell]  8 Sc 3.40
Tm 0.0000 0.0000 0.5000 [4 per cell]  8 Sc 3.40
Sc 0.2500 0.2500 0.2500 [8 per cell]  4 Ac 3.40, 4 Tm 3.40

magnetic moment = 0.000 μB per cell
energy relative to the elements = 109.3 meV/atom
density = 6.65 g/cm³
DFT total energy = -83.22 eV for the cell shown

---

# 3
Entry from Alexandria via LeMat-Bulk: a relaxed AcSc2V crystal (PBE-GGA).

a = 3.3749 Å, b = 3.3749 Å, c = 33.1303 Å
α = 90.00°, β = 90.00°, γ = 120.00°
Last column: nearest neighbours and their distance in Å.
Space group R-3m (No. 166, hexagonal axes)
Symmetry-distinct sites (fractional):
Ac 0.0000 0.0000 0.0000 [3 per cell]  6 Ac 3.37, 6 Sc 3.53
Sc 0.0000 0.0000 0.4221 [6 per cell]  1 V 2.58
V 0.0000 0.0000 0.5000 [3 per cell]  2 Sc 2.58

magnetic moment = 8.569 μB per cell
energy relative to the elements = 748.8 meV/atom
density = 5.61 g/cm³
DFT total energy = -68.69 eV for the cell shown

---

# 4
Entry from Alexandria via LeMat-Bulk: a relaxed AcYSc2 crystal (PBE-GGA).

a = 4.0027 Å, b = 4.0027 Å, c = 7.7265 Å
α = 90.00°, β = 90.00°, γ = 90.00°
Last column: nearest neighbours and their distance in Å.
Space group P4/mmm (No. 123)
Symmetry-distinct sites (fractional):
Ac 0.0000 0.0000 0.0000 [1 per cell]  8 Sc 3.52, 2 Y 3.86
Y 0.0000 0.0000 0.5000 [1 per cell]  8 Sc 3.34
Sc 0.5000 0.5000 0.2716 [2 per cell]  4 Y 3.34, 4 Ac 3.52, 1 Sc 3.53

magnetic moment = 0.001 μB per cell
energy relative to the elements = 90.9 meV/atom
density = 5.44 g/cm³
DFT total energy = -22.87 eV for the cell shown

---

# 5
Entry from Alexandria via LeMat-Bulk: a relaxed Ac12Y3Sc5 crystal (PBE-GGA).

a = 19.7710 Å, b = 19.7710 Å, c = 19.7710 Å
α = 90.00°, β = 90.00°, γ = 90.00°
Last column: nearest neighbours and their distance in Å.
Space group Ia-3d (No. 230)
Symmetry-distinct sites (fractional):
Ac 0.0180 0.0776 0.6444 [96 per cell]  2 Sc 3.26-3.34, 1 Y 3.45
Y 0.0000 0.2500 0.1250 [24 per cell]  8 Ac 3.45-3.83
Sc 0.0000 0.0000 0.0000 [16 per cell]  6 Ac 3.26
Sc 0.0000 0.2500 0.3750 [24 per cell]  4 Ac 3.34

magnetic moment = 37.997 μB per cell
energy relative to the elements = 962.8 meV/atom
density = 5.53 g/cm³
DFT total energy = -648.76 eV for the cell shown

---

# 6
Entry from Alexandria via LeMat-Bulk: a relaxed AcY2Sc crystal (PBE-GGA).

a = 3.6469 Å, b = 3.6469 Å, c = 34.4960 Å
α = 90.00°, β = 90.00°, γ = 120.00°
Last column: nearest neighbours and their distance in Å.
Space group R-3m (No. 166, hexagonal axes)
Symmetry-distinct sites (fractional):
Ac 0.0000 0.0000 0.0000 [3 per cell]  6 Ac 3.65, 6 Y 3.73
Y 0.0000 0.0000 0.2440 [6 per cell]  3 Sc 3.40, 6 Y 3.65, 3 Ac 3.73
Sc 0.0000 0.0000 0.5000 [3 per cell]  6 Y 3.40, 6 Sc 3.65

magnetic moment = 0.001 μB per cell
energy relative to the elements = 98.3 meV/atom
density = 5.64 g/cm³
DFT total energy = -68.92 eV for the cell shown

---

# 7
Entry from Alexandria via LeMat-Bulk: a relaxed AcY2Sc crystal (PBE-GGA).

a = 5.0274 Å, b = 5.0274 Å, c = 5.2247 Å
α = 90.00°, β = 90.00°, γ = 90.00°
Last column: nearest neighbours and their distance in Å.
Space group P4/mmm (No. 123)
Symmetry-distinct sites (fractional):
Ac 0.0000 0.0000 0.0000 [1 per cell]  4 Sc 3.55, 8 Y 3.63
Y 0.0000 0.5000 0.5000 [2 per cell]  4 Y 3.55, 4 Ac 3.63, 4 Sc 3.63
Sc 0.5000 0.5000 0.0000 [1 per cell]  4 Ac 3.55, 8 Y 3.63

magnetic moment = 0.002 μB per cell
energy relative to the elements = 92.3 meV/atom
density = 5.66 g/cm³
DFT total energy = -23.00 eV for the cell shown

---

# 8
Entry from Alexandria via LeMat-Bulk: a relaxed AcY2Sc crystal (PBE-GGA).

a = 3.9446 Å, b = 3.9446 Å, c = 8.6666 Å
α = 90.00°, β = 90.00°, γ = 90.00°
Last column: nearest neighbours and their distance in Å.
Space group P4/mmm (No. 123)
Symmetry-distinct sites (fractional):
Ac 0.0000 0.0000 0.0000 [1 per cell]  8 Y 3.77, 4 Ac 3.94
Y 0.5000 0.5000 0.2924 [2 per cell]  4 Sc 3.32, 1 Y 3.60
Sc 0.0000 0.0000 0.5000 [1 per cell]  8 Y 3.32

magnetic moment = 0.000 μB per cell
energy relative to the elements = 86.7 meV/atom
density = 5.54 g/cm³
DFT total energy = -23.02 eV for the cell shown

---

# 9
Entry from Alexandria via LeMat-Bulk: a relaxed Ac2YSc crystal (PBE-GGA).

a = 3.6612 Å, b = 3.6612 Å, c = 38.2315 Å
α = 90.00°, β = 90.00°, γ = 120.00°
Last column: nearest neighbours and their distance in Å.
Space group R-3m (No. 166, hexagonal axes)
Symmetry-distinct sites (fractional):
Ac 0.0000 0.0000 0.0858 [6 per cell]  1 Sc 3.28, 6 Ac 3.66
Y 0.0000 0.0000 0.5000 [3 per cell]  6 Y 3.66, 6 Ac 3.74
Sc 0.0000 0.0000 0.0000 [3 per cell]  2 Ac 3.28, 6 Sc 3.66

magnetic moment = 0.000 μB per cell
energy relative to the elements = 328.6 meV/atom
density = 6.60 g/cm³
DFT total energy = -59.09 eV for the cell shown

---

# 10
Entry from Alexandria via LeMat-Bulk: a relaxed AcYSc2 crystal (PBE-GGA).

a = 3.5851 Å, b = 3.5851 Å, c = 33.2826 Å
α = 90.00°, β = 90.00°, γ = 120.00°
Last column: nearest neighbours and their distance in Å.
Space group R-3m (No. 166, hexagonal axes)
Symmetry-distinct sites (fractional):
Ac 0.0000 0.0000 0.0000 [3 per cell]  6 Sc 3.53, 6 Ac 3.59
Y 0.0000 0.0000 0.5000 [3 per cell]  6 Sc 3.39, 6 Y 3.59
Sc 0.0000 0.0000 0.2475 [6 per cell]  3 Y 3.39, 3 Ac 3.53, 6 Sc 3.59

magnetic moment = 0.000 μB per cell
energy relative to the elements = 139.0 meV/atom
density = 5.46 g/cm³
DFT total energy = -68.04 eV for the cell shown

---

# 11
Entry from Alexandria via LeMat-Bulk: a relaxed Ac2YSc crystal (PBE-GGA).

a = 8.3226 Å, b = 8.3226 Å, c = 8.3226 Å
α = 90.00°, β = 90.00°, γ = 90.00°
Last column: nearest neighbours and their distance in Å.
Space group Fm-3m (No. 225)
Symmetry-distinct sites (fractional):
Ac 0.2500 0.2500 0.2500 [8 per cell]  4 Sc 3.60, 4 Y 3.60
Y 0.0000 0.0000 0.0000 [4 per cell]  8 Ac 3.60
Sc 0.0000 0.0000 0.5000 [4 per cell]  8 Ac 3.60

magnetic moment = 0.002 μB per cell
energy relative to the elements = 99.4 meV/atom
density = 6.77 g/cm³
DFT total energy = -82.46 eV for the cell shown

---

# 12
Entry from Alexandria via LeMat-Bulk: a relaxed AcYSc2 crystal (PBE-GGA).

a = 7.9086 Å, b = 7.9086 Å, c = 7.9086 Å
α = 90.00°, β = 90.00°, γ = 90.00°
Last column: nearest neighbours and their distance in Å.
Space group Fm-3m (No. 225)
Symmetry-distinct sites (fractional):
Ac 0.0000 0.0000 0.0000 [4 per cell]  8 Sc 3.42
Y 0.0000 0.0000 0.5000 [4 per cell]  8 Sc 3.42
Sc 0.2500 0.2500 0.2500 [8 per cell]  4 Ac 3.42, 4 Y 3.42

magnetic moment = 0.000 μB per cell
energy relative to the elements = 102.4 meV/atom
density = 5.45 g/cm³
DFT total energy = -91.30 eV for the cell shown

---

# 13
Entry from Alexandria via LeMat-Bulk: a relaxed Ac2YSc crystal (PBE-GGA).

a = 5.5443 Å, b = 5.5443 Å, c = 4.6699 Å
α = 90.00°, β = 90.00°, γ = 90.00°
Last column: nearest neighbours and their distance in Å.
Space group P4/mmm (No. 123)
Symmetry-distinct sites (fractional):
Ac 0.0000 0.5000 0.0000 [2 per cell]  4 Sc 3.62, 4 Y 3.62, 4 Ac 3.92
Y 0.0000 0.0000 0.5000 [1 per cell]  8 Ac 3.62, 4 Sc 3.92
Sc 0.5000 0.5000 0.5000 [1 per cell]  8 Ac 3.62, 4 Y 3.92

magnetic moment = 0.000 μB per cell
energy relative to the elements = 84.6 meV/atom
density = 6.80 g/cm³
DFT total energy = -20.67 eV for the cell shown